Record 1
Computed, not measured: crystalline LaFe2SbAs at its relaxed geometry at the PBE-GGA level of DFT.

abc: 4.7622 6.2022 4.7622
angles: 90.00 90.00 90.00
Closest atoms and distances in Å follow each position.
Element x y z (fractional)
Sb1 0.0000 0.0000 0.0000  4 Fe 2.38
As1 0.5000 0.5000 0.5000  4 La 3.37
Fe1 0.0000 0.0000 0.5000  2 Sb 2.38
Fe2 0.5000 0.0000 0.0000  2 Sb 2.38
La1 0.0000 0.5000 0.0000  2 Sb 3.10, 4 As 3.37

Summary:
space group = P4/mmm
energy relative to the elements, uncorrected = 0.54 eV/atom

Record 2
Computed, not measured: crystalline SrLa2FeAs at its relaxed geometry at the PBE-GGA level of DFT.

abc: 5.0030 5.6788 5.0030
angles: 90.00 90.00 90.00
Closest atoms and distances in Å follow each position.
Element x y z (fractional)
Sr1 0.0000 0.5000 0.0000  2 Fe 2.84
As1 0.5000 0.5000 0.5000  4 Sr 3.54, 8 La 3.78
Fe1 0.0000 0.0000 0.0000  4 La 2.50
La1 0.0000 0.0000 0.5000  2 Fe 2.50
La2 0.5000 0.0000 0.0000  2 Fe 2.50

Summary:
space group = P4/mmm
formation energy from the elements = -243 meV per atom

Record 3
Computed, not measured: crystalline LaFeAs2W at its relaxed geometry at the PBE-GGA level of DFT.

abc: 4.7093 4.6555 4.7093
angles: 90.00 90.00 90.00
Closest atoms and distances in Å follow each position.
Element x y z (fractional)
As1 0.0000 0.0000 0.5000  2 Fe 2.35
As2 0.5000 0.0000 0.0000  2 Fe 2.35
Fe1 0.0000 0.0000 0.0000  2 W 2.33, 4 As 2.35
W1 0.0000 0.5000 0.0000  2 Fe 2.33
La1 0.5000 0.5000 0.5000  8 As 3.31, 4 W 3.33

Summary:
space group = P4/mmm
formation energy from the elements = 326 meV per atom

Record 4
Computed, not measured: crystalline Li4FeAs at its relaxed geometry at the PBE-GGA level of DFT.

abc: 4.9255 4.9255 4.9255
angles: 60.00 60.00 60.00
Closest atoms and distances in Å follow each position.
Element x y z (fractional)
Li1 0.8737 0.3754 0.3754  6 Li 2.45-2.47
Li2 0.3754 0.3754 0.8737  6 Li 2.45-2.47
Li3 0.3754 0.8737 0.3754  6 Li 2.45-2.47
Li4 0.3754 0.3754 0.3754  6 Li 2.45-2.47
Fe1 0.0000 0.0000 0.0000  12 Li 2.89, 4 As 3.02
As1 0.7500 0.7500 0.7500  12 Li 2.89, 4 Fe 3.02

Summary:
space group = F-43m
formation energy from the elements = 176 meV per atom

Record 5
Computed, not measured: crystalline LiFeAs3 at its relaxed geometry at the PBE-GGA level of DFT.

abc: 4.6137 4.6137 4.6137
angles: 90.00 90.00 90.00
Closest atoms and distances in Å follow each position.
Element x y z (fractional)
As1 0.0000 0.5000 0.0000  2 Fe 2.31
As2 0.0000 0.0000 0.5000  2 Fe 2.31
As3 0.5000 0.0000 0.0000  2 Fe 2.31
Fe1 0.0000 0.0000 0.0000  6 As 2.31
Li1 0.5000 0.5000 0.5000  12 As 3.26

Summary:
space group = Pm-3m
formation energy from the elements = 211 meV per atom
energy above the lowest structure with this stoichiometry = 0.000 eV per atom

Record 6
Computed, not measured: crystalline LiFe4As at its relaxed geometry at the PBE-GGA level of DFT.

abc: 4.7768 4.7768 4.7768
angles: 60.00 60.00 60.00
Closest atoms and distances in Å follow each position.
Element x y z (fractional)
Li1 0.7500 0.7500 0.7500  12 Fe 2.80, 4 As 2.93
Fe1 0.8738 0.3754 0.3754  6 Fe 2.38-2.40
Fe2 0.3754 0.3754 0.8738  6 Fe 2.38-2.40
Fe3 0.3754 0.8738 0.3754  6 Fe 2.38-2.40
Fe4 0.3754 0.3754 0.3754  6 Fe 2.38-2.40
As1 0.0000 0.0000 0.0000  12 Fe 2.80, 4 Li 2.93

Summary:
space group = F-43m
formation energy from the elements = 201 meV per atom

Record 7
Computed, not measured: crystalline LiFeMoAs2 at its relaxed geometry at the PBE-GGA level of DFT.

abc: 4.8548 4.8209 4.8548
angles: 90.00 90.00 90.00
Closest atoms and distances in Å follow each position.
Element x y z (fractional)
Mo1 0.0000 0.0000 0.0000  2 Fe 2.41, 4 As 2.43
Li1 0.5000 0.5000 0.5000  8 As 3.42, 4 Fe 3.43
As1 0.0000 0.0000 0.5000  2 Mo 2.43
As2 0.5000 0.0000 0.0000  2 Mo 2.43
Fe1 0.0000 0.5000 0.0000  2 Mo 2.41

Summary:
space group = P4/mmm
formation energy from the elements = 514 meV per atom

Record 8
Computed, not measured: crystalline LiFeAsN2 at its relaxed geometry at the PBE-GGA level of DFT.

abc: 3.5563 4.4129 3.5563
angles: 90.00 90.00 90.00
Closest atoms and distances in Å follow each position.
Element x y z (fractional)
As1 0.0000 0.5000 0.0000  2 Li 2.21
Li1 0.0000 0.0000 0.0000  4 N 1.78
Fe1 0.5000 0.5000 0.5000  4 As 2.51
N1 0.0000 0.0000 0.5000  2 Li 1.78
N2 0.5000 0.0000 0.0000  2 Li 1.78

Summary:
space group = P4/mmm
energy relative to the elements, uncorrected = 1.82 eV/atom

Record 9
Computed, not measured: crystalline LiFe2AsN at its relaxed geometry at the PBE-GGA level of DFT.

abc: 3.8036 3.8036 3.9232
angles: 90.00 90.00 90.00
Closest atoms and distances in Å follow each position.
Element x y z (fractional)
As1 0.5000 0.5000 0.5000  4 Li 2.69, 8 Fe 2.73
Li1 0.0000 0.0000 0.5000  2 N 1.96
Fe1 0.0000 0.5000 0.0000  2 N 1.90
Fe2 0.5000 0.0000 0.0000  2 N 1.90
N1 0.0000 0.0000 0.0000  4 Fe 1.90, 2 Li 1.96

Summary:
space group = P4/mmm
energy relative to the elements, uncorrected = -0.14 eV/atom

Record 10
Computed, not measured: crystalline Li2FeAsN at its relaxed geometry at the PBE-GGA level of DFT.

abc: 3.9932 3.9932 3.5678
angles: 90.00 90.00 90.00
Closest atoms and distances in Å follow each position.
Element x y z (fractional)
As1 0.5000 0.5000 0.5000  8 Li 2.68, 4 Fe 2.82
Li1 0.0000 0.5000 0.0000  2 N 2.00
Li2 0.5000 0.0000 0.0000  2 N 2.00
Fe1 0.0000 0.0000 0.5000  2 N 1.78
N1 0.0000 0.0000 0.0000  2 Fe 1.78, 4 Li 2.00

Summary:
space group = P4/mmm
energy relative to the elements, uncorrected = -0.32 eV/atom

Record 11
Computed, not measured: crystalline LiNb2FeAs at its relaxed geometry at the PBE-GGA level of DFT.

abc: 4.4935 3.8531 4.4935
angles: 90.00 90.00 90.00
Closest atoms and distances in Å follow each position.
Element x y z (fractional)
Nb1 0.0000 0.0000 0.5000  2 Li 2.25
Nb2 0.5000 0.0000 0.0000  2 Li 2.25
Li1 0.0000 0.0000 0.0000  2 Fe 1.93
As1 0.5000 0.5000 0.5000  8 Nb 2.96, 4 Fe 3.18
Fe1 0.0000 0.5000 0.0000  2 Li 1.93

Summary:
space group = P4/mmm
formation energy from the elements = 858 meV per atom

Record 12
Computed, not measured: crystalline LiFeNi2As at its relaxed geometry at the PBE-GGA level of DFT.

abc: 4.3274 4.3343 4.3274
angles: 90.00 90.00 90.00
Closest atoms and distances in Å follow each position.
Element x y z (fractional)
Ni1 0.0000 0.0000 0.5000  2 As 2.16
Ni2 0.5000 0.0000 0.0000  2 As 2.16
As1 0.0000 0.0000 0.0000  4 Ni 2.16, 2 Li 2.17
Fe1 0.5000 0.5000 0.5000  4 Li 3.06, 8 Ni 3.06
Li1 0.0000 0.5000 0.0000  2 As 2.17

Summary:
space group = P4/mmm
formation energy from the elements = 526 meV per atom

Record 13
Computed, not measured: crystalline LiFeNiAs at its relaxed geometry at the PBE-GGA level of DFT.

abc: 3.9797 3.9797 3.9797
angles: 60.00 60.00 60.00
Closest atoms and distances in Å follow each position.
Element x y z (fractional)
Ni1 0.2500 0.2500 0.2500  4 Li 2.44, 4 As 2.44
As1 0.5000 0.5000 0.5000  4 Fe 2.44, 4 Ni 2.44
Fe1 0.7500 0.7500 0.7500  4 As 2.44, 4 Li 2.44
Li1 0.0000 0.0000 0.0000  4 Fe 2.44, 4 Ni 2.44

Summary:
space group = F-43m
formation energy from the elements = -178 meV per atom

Record 14
Computed, not measured: crystalline LiFeNiAs2 at its relaxed geometry at the PBE-GGA level of DFT.

abc: 3.8527 3.8527 5.8514
angles: 109.22 109.22 90.00
Closest atoms and distances in Å follow each position.
Element x y z (fractional)
Li1 0.0000 0.0000 0.0000  8 As 3.01, 4 Ni 3.23, 4 Fe 3.23
Fe1 0.7500 0.2500 0.5000  4 As 2.32
Ni1 0.2500 0.7500 0.5000  4 As 2.32
As1 0.6244 0.6244 0.2489  2 Fe 2.32, 2 Ni 2.32, 1 As 2.58
As2 0.3756 0.3756 0.7511  2 Fe 2.32, 2 Ni 2.32, 1 As 2.58

Summary:
space group = I-4m2
formation energy from the elements = -318 meV per atom